## w
VASP calculation (GGA-PBE) on SbIr2Pb after structural relaxation.

abc: 3.1289 3.1289 8.8262
angles: 90.00 90.00 90.00
Last column: nearest neighbours and their distance in Å.
Element x y z (fractional)
Ir1 0.0000 0.0000 0.0152  4 Sb 2.74, 4 Ir 2.84
Ir2 0.5000 0.5000 0.2175  8 Ir 2.84-3.13, 4 Pb 2.93
Pb1 0.0000 0.0000 0.4356  4 Ir 2.93, 4 Pb 3.13
Sb1 0.5000 0.5000 0.8317  4 Ir 2.74

Calculated values
ρ   13.71 Mg/m³

---

## x
VASP calculation (GGA-PBE) on SbIr2Pb after structural relaxation.

abc: 4.3149 3.2426 5.8597
angles: 73.94 90.00 90.00
Last column: nearest neighbours and their distance in Å.
Element x y z (fractional)
Ir1 0.0000 0.2154 0.9438  4 Sb 2.75, 2 Ir 2.83, 1 Pb 2.87
Ir2 0.5000 0.0528 0.2699  2 Ir 2.83, 4 Pb 2.85, 2 Sb 2.86
Pb1 0.0000 0.4704 0.4343  5 Ir 2.85-2.87
Sb1 0.5000 0.7615 0.8520  6 Ir 2.75-2.86

Calculated values
ρ   15.04 Mg/m³

---

## y
VASP calculation (GGA-PBE) on SbIr2Pb after structural relaxation.

abc: 10.5234 10.5234 10.5234
angles: 17.06 17.06 17.06
Last column: nearest neighbours and their distance in Å.
Element x y z (fractional)
Ir1 0.9950 0.9950 0.9950  3 Sb 2.69, 3 Ir 2.80
Ir2 0.2593 0.2593 0.2593  9 Ir 2.80-3.12, 3 Pb 2.89
Pb1 0.5198 0.5198 0.5198  3 Ir 2.89, 6 Pb 3.12
Sb1 0.7260 0.7260 0.7260  3 Ir 2.69

Calculated values
ρ   13.54 Mg/m³

---

x wins, 29 meV per atom ahead of the next structure.

---

## w
VASP calculation (GGA-PBE) on Sb3IrPb after structural relaxation.

abc: 5.5866 5.5866 5.5866
angles: 90.00 90.00 90.00
Last column: nearest neighbours and their distance in Å.
Element x y z (fractional)
Pb1 0.0000 0.0000 0.0000  6 Sb 2.79
Sb1 0.0000 0.5000 0.0000  2 Pb 2.79
Sb2 0.0000 0.0000 0.5000  2 Pb 2.79
Sb3 0.5000 0.0000 0.0000  2 Pb 2.79
Ir1 0.5000 0.5000 0.5000  12 Sb 3.95

Calculated values
ρ   7.28 Mg/m³

---

## x
VASP calculation (GGA-PBE) on Sb3IrPb after structural relaxation.

abc: 5.2666 5.2666 5.2666
angles: 90.00 90.00 90.00
Last column: nearest neighbours and their distance in Å.
Element x y z (fractional)
Pb1 0.5000 0.5000 0.5000  12 Sb 3.72
Sb1 0.0000 0.5000 0.0000  2 Ir 2.63
Sb2 0.0000 0.0000 0.5000  2 Ir 2.63
Sb3 0.5000 0.0000 0.0000  2 Ir 2.63
Ir1 0.0000 0.0000 0.0000  6 Sb 2.63

Calculated values
ρ   8.69 Mg/m³

---

x wins, 1468 meV per atom ahead of the next structure.

---

## w
VASP calculation (GGA-PBE) on ScIr3Pb after structural relaxation.

abc: 4.9289 4.9289 4.9289
angles: 90.00 90.00 90.00
Last column: nearest neighbours and their distance in Å.
Element x y z (fractional)
Pb1 0.0000 0.0000 0.0000  6 Ir 2.46
Sc1 0.5000 0.5000 0.5000  12 Ir 3.49
Ir1 0.0000 0.5000 0.0000  2 Pb 2.46
Ir2 0.0000 0.0000 0.5000  2 Pb 2.46
Ir3 0.5000 0.0000 0.0000  2 Pb 2.46

Calculated values
ρ   11.49 Mg/m³

---

## x
VASP calculation (GGA-PBE) on ScIr3Pb after structural relaxation.

abc: 4.7867 4.7867 4.7867
angles: 90.00 90.00 90.00
Last column: nearest neighbours and their distance in Å.
Element x y z (fractional)
Pb1 0.5000 0.5000 0.5000  12 Ir 3.38
Sc1 0.0000 0.0000 0.0000  6 Ir 2.39
Ir1 0.0000 0.5000 0.0000  2 Sc 2.39
Ir2 0.0000 0.0000 0.5000  2 Sc 2.39
Ir3 0.5000 0.0000 0.0000  2 Sc 2.39

Calculated values
ρ   12.55 Mg/m³

---

x wins, 324 meV per atom ahead of the next structure.

---

## w
VASP calculation (GGA-PBE) on ScIrPb3 after structural relaxation.

abc: 5.4580 5.4580 5.4580
angles: 90.00 90.00 90.00
Last column: nearest neighbours and their distance in Å.
Element x y z (fractional)
Pb1 0.0000 0.5000 0.0000  2 Sc 2.73
Pb2 0.0000 0.0000 0.5000  2 Sc 2.73
Pb3 0.5000 0.0000 0.0000  2 Sc 2.73
Sc1 0.0000 0.0000 0.0000  6 Pb 2.73
Ir1 0.5000 0.5000 0.5000  12 Pb 3.86

Calculated values
ρ   8.77 Mg/m³

---

## x
VASP calculation (GGA-PBE) on ScIrPb3 after structural relaxation.

abc: 5.3139 5.3139 5.3139
angles: 90.00 90.00 90.00
Last column: nearest neighbours and their distance in Å.
Element x y z (fractional)
Pb1 0.0000 0.5000 0.0000  2 Ir 2.66
Pb2 0.0000 0.0000 0.5000  2 Ir 2.66
Pb3 0.5000 0.0000 0.0000  2 Ir 2.66
Sc1 0.5000 0.5000 0.5000  12 Pb 3.76
Ir1 0.0000 0.0000 0.0000  6 Pb 2.66

Calculated values
ρ   9.50 Mg/m³

---

x wins, 765 meV per atom ahead of the next structure.

---

## w
VASP calculation (GGA-PBE) on Ir2PbSe after structural relaxation.

abc: 5.3506 5.3506 4.1632
angles: 68.04 68.04 114.81
Last column: nearest neighbours and their distance in Å.
Element x y z (fractional)
Ir1 0.0000 0.0000 0.0000  2 Se 2.71, 2 Pb 2.71, 4 Ir 2.88-3.00
Ir2 0.5000 0.5000 0.0000  2 Pb 2.71, 2 Se 2.71, 4 Ir 2.88-3.00
Pb1 0.5000 0.0000 0.5000  4 Ir 2.71, 4 Se 2.88-3.00
Se1 0.0000 0.5000 0.5000  4 Ir 2.71, 4 Pb 2.88-3.00

Calculated values
ρ   14.30 Mg/m³

---

## x
VASP calculation (GGA-PBE) on Ir2PbSe after structural relaxation.

abc: 3.8032 4.2557 5.5373
angles: 89.87 90.00 90.00
Last column: nearest neighbours and their distance in Å.
Element x y z (fractional)
Ir1 0.0000 0.7534 0.0173  2 Se 2.41, 1 Ir 2.58
Ir2 0.0000 0.7466 0.4827  2 Se 2.41, 1 Ir 2.58
Pb1 0.5000 0.2500 0.2500  8 Ir 3.12-3.14, 4 Se 3.49-3.50
Se1 0.5000 0.7500 0.7500  4 Ir 2.41

Calculated values
ρ   12.43 Mg/m³

---

## y
VASP calculation (GGA-PBE) on Ir2PbSe after structural relaxation.

abc: 3.1772 3.1772 7.2203
angles: 90.00 90.00 90.00
Last column: nearest neighbours and their distance in Å.
Element x y z (fractional)
Ir1 0.0000 0.0000 0.9539  4 Se 2.69, 1 Ir 2.94
Ir2 0.0000 0.0000 0.5461  4 Se 2.69, 1 Ir 2.94
Pb1 0.5000 0.5000 0.2500  8 Ir 3.10, 4 Pb 3.18
Se1 0.5000 0.5000 0.7500  8 Ir 2.69

Calculated values
ρ   15.28 Mg/m³

---

## z
VASP calculation (GGA-PBE) on Ir2PbSe after structural relaxation.

abc: 2.9842 5.2375 4.6927
angles: 90.00 90.00 90.00
Last column: nearest neighbours and their distance in Å.
Element x y z (fractional)
Ir1 0.0000 0.0000 0.0000  4 Pb 2.78, 6 Ir 2.98-3.01
Ir2 0.5000 0.5000 0.0000  4 Se 2.78, 6 Ir 2.98-3.01
Pb1 0.5000 0.0000 0.5000  4 Ir 2.78, 2 Pb 2.98, 4 Se 3.01
Se1 0.0000 0.5000 0.5000  4 Ir 2.78, 2 Se 2.98, 4 Pb 3.01

Calculated values
ρ   15.18 Mg/m³

---

x wins, 44 meV per atom ahead of the next structure.

---

## w
VASP calculation (GGA-PBE) on Ir3PbSe after structural relaxation.

abc: 5.0032 5.0032 5.0032
angles: 90.00 90.00 90.00
Last column: nearest neighbours and their distance in Å.
Element x y z (fractional)
Pb1 0.0000 0.0000 0.0000  6 Ir 2.50
Ir1 0.0000 0.5000 0.0000  2 Pb 2.50
Ir2 0.0000 0.0000 0.5000  2 Pb 2.50
Ir3 0.5000 0.0000 0.0000  2 Pb 2.50
Se1 0.5000 0.5000 0.5000  12 Ir 3.54

Calculated values
ρ   11.44 Mg/m³

---

## x
VASP calculation (GGA-PBE) on Ir3PbSe after structural relaxation.

abc: 4.6869 4.6869 4.6869
angles: 90.00 90.00 90.00
Last column: nearest neighbours and their distance in Å.
Element x y z (fractional)
Pb1 0.5000 0.5000 0.5000  12 Ir 3.31
Ir1 0.0000 0.5000 0.0000  2 Se 2.34
Ir2 0.0000 0.0000 0.5000  2 Se 2.34
Ir3 0.5000 0.0000 0.0000  2 Se 2.34
Se1 0.0000 0.0000 0.0000  6 Ir 2.34

Calculated values
ρ   13.92 Mg/m³

---

x wins, 1322 meV per atom ahead of the next structure.

---

## w
VASP calculation (GGA-PBE) on SrSi2IrPb after structural relaxation.

abc: 5.2552 5.7807 5.2552
angles: 90.00 90.00 90.00
Last column: nearest neighbours and their distance in Å.
Element x y z (fractional)
Pb1 0.0000 0.5000 0.0000  2 Sr 2.89
Sr1 0.0000 0.0000 0.0000  4 Si 2.63, 2 Pb 2.89
Si1 0.0000 0.0000 0.5000  2 Sr 2.63
Si2 0.5000 0.0000 0.0000  2 Sr 2.63
Ir1 0.5000 0.5000 0.5000  4 Pb 3.72, 8 Si 3.91

Calculated values
ρ   5.65 Mg/m³

---

## x
VASP calculation (GGA-PBE) on SrSi2IrPb after structural relaxation.

abc: 5.4335 5.1314 5.4335
angles: 90.00 90.00 90.00
Last column: nearest neighbours and their distance in Å.
Element x y z (fractional)
Pb1 0.5000 0.5000 0.5000  8 Si 3.74, 4 Ir 3.84
Sr1 0.0000 0.0000 0.0000  2 Ir 2.57, 4 Si 2.72
Si1 0.0000 0.0000 0.5000  2 Sr 2.72
Si2 0.5000 0.0000 0.0000  2 Sr 2.72
Ir1 0.0000 0.5000 0.0000  2 Sr 2.57

Calculated values
ρ   5.95 Mg/m³

---

x wins, 519 meV per atom ahead of the next structure.

---

## w
VASP calculation (GGA-PBE) on Sm2IrPb after structural relaxation.

abc: 3.5572 3.5572 8.1825
angles: 90.00 90.00 90.00
Last column: nearest neighbours and their distance in Å.
Element x y z (fractional)
Pb1 0.5000 0.5000 0.5000  8 Sm 3.49, 4 Pb 3.56
Ir1 0.5000 0.5000 0.0000  8 Sm 3.02
Sm1 0.0000 0.0000 0.7949  4 Ir 3.02, 1 Sm 3.36
Sm2 0.0000 0.0000 0.2051  4 Ir 3.02, 1 Sm 3.36

Calculated values
ρ   11.23 Mg/m³

---

## x
VASP calculation (GGA-PBE) on Sm2IrPb after structural relaxation.

abc: 4.3353 4.3358 7.0757
angles: 89.99 90.00 120.00
Last column: nearest neighbours and their distance in Å.
Element x y z (fractional)
Sm1 0.6668 0.8335 0.8025  3 Ir 2.87
Sm2 0.3332 0.1665 0.1975  3 Ir 2.87
Ir1 0.0000 0.5000 0.0000  6 Sm 2.87
Pb1 0.0000 0.5000 0.5000  6 Sm 3.29, 2 Ir 3.54

Calculated values
ρ   10.09 Mg/m³

---

w wins, 107 meV per atom ahead of the next structure.